(1)
DFT (PBE) results for a relaxed structure of PmAgH2.

Computed properties:
electronic total energy	-15.1	eV/f.u.
symmetry	Fm-3m (225)

Unit cell a=4.246 b=4.246 c=4.246 alpha=60.00 beta=60.00 gamma=60.00
Element x y z (fractional)
1 Ag 0.500 0.500 0.500
2 H 0.750 0.750 0.750
3 H 0.250 0.250 0.250
4 Pm 0.000 0.000 0.000


(2)
DFT (PBE) results for a relaxed structure of AgH6PtW.

Computed properties:
electronic total energy	-36.8	eV/f.u.
symmetry	F-43m (216)

Unit cell a=4.653 b=4.653 c=4.653 alpha=60.00 beta=60.00 gamma=60.00
Each line ends with the local moment (μB).
Element x y z (fractional)
1 W 0.500 0.500 0.500  0.89
2 H 0.475 0.475 0.025  -0.01
3 H 0.025 0.025 0.475  -0.01
4 H 0.025 0.475 0.025  -0.01
5 H 0.475 0.025 0.025  -0.01
6 H 0.025 0.475 0.475  0.00
7 H 0.475 0.025 0.475  -0.01
8 Pt 0.750 0.750 0.750  0.07
9 Ag 0.000 0.000 0.000  0.03


(3)
DFT (PBE) results for a relaxed structure of AgHS.

Computed properties:
electronic total energy	-10.7	eV/f.u.
symmetry	Aem2 (39)

Unit cell a=5.155 b=4.814 c=4.814 alpha=99.69 beta=90.00 gamma=90.00
Element x y z (fractional)
1 S 0.706 0.374 0.874
2 S 0.294 0.874 0.374
3 H 0.399 0.077 0.577
4 H 0.601 0.577 0.077
5 Ag 0.000 0.148 0.148
6 Ag 0.000 0.648 0.648


(4)
DFT (PBE) results for a relaxed structure of Sr2ScAgH6.

Computed properties:
electronic total energy	-35.1	eV/f.u.
symmetry	Fm-3m (225)

Unit cell a=5.692 b=5.692 c=5.692 alpha=60.00 beta=60.00 gamma=60.00
Element x y z (fractional)
1 H 0.249 0.751 0.249
2 H 0.751 0.751 0.249
3 H 0.751 0.249 0.751
4 H 0.751 0.249 0.249
5 H 0.249 0.751 0.751
6 H 0.249 0.249 0.751
7 Sr 0.250 0.250 0.250
8 Sr 0.750 0.750 0.750
9 Sc 0.500 0.500 0.500
10 Ag 0.000 0.000 0.000


(5)
DFT (PBE) results for a relaxed structure of Sr2TcAgH6.

Computed properties:
electronic total energy	-40.0	eV/f.u.
symmetry	Fm-3m (225)

Unit cell a=5.457 b=5.457 c=5.457 alpha=60.00 beta=60.00 gamma=60.00
Element x y z (fractional)
1 Ag 0.000 0.000 0.000
2 H 0.736 0.736 0.264
3 H 0.736 0.264 0.264
4 H 0.264 0.264 0.736
5 H 0.264 0.736 0.264
6 H 0.264 0.736 0.736
7 H 0.736 0.264 0.736
8 Sr 0.750 0.750 0.750
9 Sr 0.250 0.250 0.250
10 Tc 0.500 0.500 0.500


(6)
DFT (PBE) results for a relaxed structure of Sr2ZnAgH6.

Computed properties:
electronic total energy	-29.6	eV/f.u.
symmetry	Fm-3m (225)

Unit cell a=5.554 b=5.554 c=5.554 alpha=60.00 beta=60.00 gamma=60.00
Element x y z (fractional)
1 Sr 0.250 0.250 0.250
2 Sr 0.750 0.750 0.750
3 H 0.741 0.259 0.259
4 H 0.259 0.259 0.741
5 H 0.259 0.741 0.259
6 H 0.741 0.741 0.259
7 H 0.741 0.259 0.741
8 H 0.259 0.741 0.741
9 Zn 0.500 0.500 0.500
10 Ag 0.000 0.000 0.000


(7)
DFT (PBE) results for a relaxed structure of Hf5Ag2.

Computed properties:
electronic total energy	-54.9	eV/f.u.
symmetry	R-3m (166)
formation energy from the elements	0.08	eV per atom

Unit cell a=7.542 b=7.542 c=7.542 alpha=37.82 beta=37.82 gamma=37.82
Element x y z (fractional)
1 Hf 0.339 0.339 0.339
2 Hf 0.921 0.921 0.921
3 Hf 0.615 0.615 0.615
4 Hf 0.196 0.196 0.196
5 Hf 0.768 0.768 0.768
6 Ag 0.056 0.056 0.056
7 Ag 0.480 0.480 0.480


(8)
DFT (PBE) results for a relaxed structure of Hf3Ag4.

Computed properties:
electronic total energy	-41.7	eV/f.u.
symmetry	I4/mmm (139)
formation energy from the elements	-0.08	eV per atom

Unit cell a=11.271 b=11.271 c=11.271 alpha=162.21 beta=162.21 gamma=25.26
Each line ends with the local moment (μB).
Element x y z (fractional)
1 Ag 0.430 0.430 0.000  0.02
2 Ag 0.863 0.863 0.000  0.00
3 Ag 0.570 0.570 0.000  0.02
4 Ag 0.137 0.137 0.000  0.00
5 Hf 0.709 0.709 0.000  -0.01
6 Hf 0.000 0.000 0.000  0.18
7 Hf 0.291 0.291 0.000  -0.01


(9)
DFT (PBE) results for a relaxed structure of HfAg2Hg2.

Computed properties:
electronic total energy	-14.3	eV/f.u.
symmetry	I4/mmm (139)
formation energy from the elements	0.38	eV per atom

Unit cell a=6.958 b=6.958 c=6.958 alpha=145.69 beta=145.69 gamma=49.30
Element x y z (fractional)
1 Hg 0.750 0.250 0.500
2 Hg 0.250 0.750 0.500
3 Ag 0.401 0.401 0.000
4 Ag 0.599 0.599 0.000
5 Hf 0.000 0.000 0.000


(10)
DFT (PBE) results for a relaxed structure of Hf2Ag2Hg.

Computed properties:
electronic total energy	-23.7	eV/f.u.
symmetry	I4/mmm (139)
formation energy from the elements	0.44	eV per atom
energy relative to the lowest polymorph listed for this composition	0.15	eV/f.u.

Unit cell a=7.451 b=7.451 c=7.451 alpha=149.21 beta=149.21 gamma=44.11
Element x y z (fractional)
1 Hf 0.601 0.601 0.000
2 Hf 0.399 0.399 0.000
3 Hg 0.000 0.000 0.000
4 Ag 0.250 0.750 0.500
5 Ag 0.750 0.250 0.500


(11)
DFT (PBE) results for a relaxed structure of Hf2AgHg3.

Computed properties:
electronic total energy	-23.2	eV/f.u.
symmetry	P4mm (99)
formation energy from the elements	0.07	eV per atom

Unit cell a=3.391 b=3.391 c=10.692 alpha=90.00 beta=90.00 gamma=90.00
Element x y z (fractional)
1 Hf 0.500 0.500 0.013
2 Hf 0.000 0.000 0.489
3 Hg 0.500 0.500 0.323
4 Hg 0.000 0.000 0.842
5 Hg 0.500 0.500 0.663
6 Ag 0.000 0.000 0.170


(12)
DFT (PBE) results for a relaxed structure of Hf2AgHg2.

Computed properties:
electronic total energy	-21.2	eV/f.u.
symmetry	I4/mmm (139)
formation energy from the elements	0.42	eV per atom

Unit cell a=7.187 b=7.187 c=7.187 alpha=146.03 beta=146.03 gamma=48.81
Element x y z (fractional)
1 Ag 0.000 0.000 0.000
2 Hf 0.250 0.750 0.500
3 Hf 0.750 0.250 0.500
4 Hg 0.600 0.600 0.000
5 Hg 0.400 0.400 0.000


Q: Among the records above, which one has the highest electronic total energy?
A: AgHS


Q: electronic total energy of number 8 (Hf3Ag4)?
A: -41.7 eV/f.u.